1.
This record from Alexandria via LeMat-Bulk describes a relaxed Ca2Pr4Er5 crystal. The functional is GGA-PBE.

Computed properties:
Density, Mg/m³: 6.50
SG: P2/m
Magnetic moment, μB/atom: 0.000
Formation energy, eV/atom: 0.11
Final energy, eV/atom: -4.066

Cell lengths 3.5328, 11.7178, 9.1387 Å; angles 89.49, 90.00, 90.00 degrees
Last column: nearest neighbours and their distance in Å.
Sites, in units of the cell vectors:
1 Ca 0.0000 0.8624 0.5465  3 Ca 3.33-3.53, 3 Er 3.34-3.62
2 Ca 0.0000 0.1376 0.4535  3 Ca 3.33-3.53, 3 Er 3.34-3.62
3 Pr 0.5000 0.3323 0.7148  8 Er 3.53-3.81, 3 Pr 3.53-3.80, 2 Ca 3.76
4 Pr 0.5000 0.7752 0.8912  3 Pr 3.53-3.80, 8 Er 3.57-3.86, 2 Ca 3.75
5 Pr 0.5000 0.6677 0.2852  8 Er 3.53-3.81, 3 Pr 3.53-3.80, 2 Ca 3.76
6 Pr 0.5000 0.2248 0.1088  3 Pr 3.53-3.80, 8 Er 3.57-3.86, 2 Ca 3.75
7 Er 0.0000 0.4135 0.3601  4 Er 3.28-3.53, 1 Ca 3.34, 4 Pr 3.53-3.66
8 Er 0.0000 0.9342 0.1608  3 Er 3.31-3.53, 2 Pr 3.57, 2 Ca 3.60-3.62
9 Er 0.0000 0.5000 0.0000  4 Er 3.43-3.53, 8 Pr 3.72-3.80
10 Er 0.0000 0.0658 0.8392  3 Er 3.31-3.53, 2 Pr 3.57, 2 Ca 3.60-3.62
11 Er 0.0000 0.5865 0.6399  4 Er 3.28-3.53, 1 Ca 3.34, 4 Pr 3.53-3.66



2.
This record from Alexandria via LeMat-Bulk describes a relaxed Ca2PrEr crystal. The functional is GGA-PBE.

Computed properties:
Density, Mg/m³: 4.44
SG: P4/mmm
Magnetic moment, μB/atom: 0.000
Formation energy, eV/atom: 0.16
Final energy, eV/atom: -3.179

Cell lengths 4.2415, 5.8529, 5.8529 Å; angles 90.00, 90.00, 90.00 degrees
Last column: nearest neighbours and their distance in Å.
Sites, in units of the cell vectors:
1 Pr 0.5000 0.0000 0.0000  8 Ca 3.61
2 Ca 0.0000 0.0000 0.5000  4 Pr 3.61, 4 Er 3.61
3 Ca 0.0000 0.5000 0.0000  4 Er 3.61, 4 Pr 3.61
4 Er 0.5000 0.5000 0.5000  8 Ca 3.61



3.
This record from Alexandria via LeMat-Bulk describes a relaxed CaPr7Er2 crystal. The functional is GGA-PBE.

Computed properties:
Density, Mg/m³: 5.22
SG: Cmmm
Magnetic moment, μB/atom: 0.000
Formation energy, eV/atom: 0.58
Final energy, eV/atom: -3.876

Cell lengths 5.8964, 9.2320, 9.2320 Å; angles 120.48, 90.00, 90.00 degrees
Last column: nearest neighbours and their distance in Å.
Sites, in units of the cell vectors:
1 Ca 0.0000 0.0000 0.0000  10 Pr 3.89-3.94
2 Pr 0.0000 0.7543 0.2457  2 Er 3.05
3 Pr 0.0000 0.2457 0.7543  2 Er 3.05
4 Pr 0.5000 0.0636 0.3018  2 Er 3.22-3.28, 2 Pr 3.35-3.48
5 Pr 0.5000 0.9364 0.6982  2 Er 3.22-3.28, 2 Pr 3.35-3.48
6 Pr 0.5000 0.3018 0.0636  2 Er 3.22-3.28, 2 Pr 3.35-3.48
7 Pr 0.5000 0.6982 0.9364  2 Er 3.22-3.28, 2 Pr 3.35-3.48
8 Pr 0.5000 0.5000 0.5000  2 Er 3.28, 4 Pr 3.48
9 Er 0.5000 0.7048 0.2952  7 Pr 3.05-3.28
10 Er 0.5000 0.2952 0.7048  7 Pr 3.05-3.28



Which formula does entry 2 have? Ca2PrEr



Look up the final energy of the second one. -3.179 eV/atom